{
  "formula": "KCaLaWO6",
  "functional": "GGA+U",
  "state": "optimized geometry",
  "relative_energy_ev_per_atom": 0.0304,
  "magnetic_moment_mub_per_atom": 0.00,
  "dft_energy_ev_per_atom": -7.00,
  "lattice_angstrom": [[0.000, 4.300, 4.300], [4.300, 0.000, 4.300], [4.300, 4.300, 0.000]],
  "species": ["K", "Ca", "La", "W", "O", "O", "O", "O", "O", "O"],
  "frac_coords": [[0.000, 0.000, 0.000], [0.500, 0.500, 0.500], [0.750, 0.750, 0.750], [0.250, 0.250, 0.250], [0.023, 0.023, 0.477], [0.023, 0.477, 0.023], [0.023, 0.477, 0.477], [0.477, 0.023, 0.023], [0.477, 0.023, 0.477], [0.477, 0.477, 0.023]]
}